The following is a PBE calculation of an optimized crystal structure of Zn3AgAu3, from Alexandria via LeMat-Bulk. Values from VASP.

Computed properties:
ΔE_f	0.345	eV per atom
V	25.60	Å³ per atom
relative energy among the computed polymorphs	3.39	eV/f.u.
space group	Pm-3n

Quantum ESPRESSO input file:
```
&SYSTEM
  ibrav = 0, nat = 14, ntyp = 3
/
ATOMIC_SPECIES
Zn 65.41 Zn.upf
Au 196.97 Au.upf
Ag 107.87 Ag.upf
CELL_PARAMETERS angstrom
7.103 0.000 0.000
0.000 7.103 0.000
0.000 0.000 7.103
ATOMIC_POSITIONS crystal
Zn 0.250 0.000 0.500
Zn 0.000 0.500 0.250
Zn 0.500 0.750 0.000
Zn 0.750 0.000 0.500
Zn 0.000 0.500 0.750
Zn 0.500 0.250 0.000
Au 0.000 0.250 0.500
Au 0.000 0.750 0.500
Au 0.500 0.000 0.750
Au 0.750 0.500 0.000
Au 0.500 0.000 0.250
Au 0.250 0.500 0.000
Ag 0.500 0.500 0.500
Ag 0.000 0.000 0.000
```

The following is a PBE calculation of an optimized crystal structure of Ho6PO12, from Alexandria via LeMat-Bulk. Values from VASP.

Computed properties:
V	12.92	Å³ per atom
space group	R-3
ΔE_f (raw)	-3.16	eV per atom

Quantum ESPRESSO input file:
```
&SYSTEM
  ibrav = 0, nat = 19, ntyp = 3
/
ATOMIC_SPECIES
Ho 164.93 Ho.upf
P 30.97 P.upf
O 16.00 O.upf
CELL_PARAMETERS angstrom
-1.855 4.501 -4.069
-5.244 -0.302 3.559
3.564 3.581 3.838
ATOMIC_POSITIONS crystal
Ho 0.697 0.858 0.392
Ho 0.608 0.303 0.142
Ho 0.142 0.608 0.303
Ho 0.303 0.142 0.608
Ho 0.392 0.697 0.858
Ho 0.858 0.392 0.697
P 0.000 0.000 0.000
O 0.823 0.561 0.405
O 0.405 0.823 0.561
O 0.561 0.405 0.823
O 0.177 0.439 0.595
O 0.595 0.177 0.439
O 0.439 0.595 0.177
O 0.067 0.975 0.275
O 0.025 0.725 0.933
O 0.725 0.933 0.025
O 0.933 0.025 0.725
O 0.975 0.275 0.067
O 0.275 0.067 0.975
```

The following is a PBE calculation of an optimized crystal structure of CeZrPaZn, from Alexandria via LeMat-Bulk. Values from VASP.

Computed properties:
ΔE_f	0.122	eV per atom
V	22.63	Å³ per atom
space group	F-43m

Quantum ESPRESSO input file:
```
&SYSTEM
  ibrav = 0, nat = 4, ntyp = 4
/
ATOMIC_SPECIES
Zn 65.41 Zn.upf
Pa 231.04 Pa.upf
Zr 91.22 Zr.upf
Ce 140.12 Ce.upf
CELL_PARAMETERS angstrom
-1.969 4.634 -0.224
-2.874 1.330 -3.921
-4.958 0.664 0.620
ATOMIC_POSITIONS crystal
Zn 0.500 0.500 0.500
Pa 0.000 0.000 0.000
Zr 0.250 0.250 0.250
Ce 0.750 0.750 0.750
```

Look up the V of the first one.
25.60 Å³ per atom

The lowest V belongs to which entry?
Ho6PO12

Number 3 is which compound?
CeZrPaZn